1.
Density functional theory data (SCAN) for a crystal of Sr3SiNi relaxed with PBEsol.

Computed properties:
total moment: 0.00 μB per atom
energy relative to the elements, uncorrected: -0.02 eV per atom
calculated total energy: -18.63 eV/atom

Geometry as POSCAR:
```
Sr3SiNi
1.0
-0.5180 -5.3532 0.6388
2.5872 3.0747 4.9043
-3.2994 0.8223 4.2156
Ni Si Sr
1 1 3
Direct
0.6460 0.2920 0.3540 Ni
0.4300 0.8600 0.5700 Si
0.9810 0.9620 0.0190 Sr
0.7444 0.4887 0.7556 Sr
0.2444 0.4887 0.2556 Sr
```

2.
Density functional theory data (SCAN) for a crystal of YBe3Ir relaxed with PBEsol.

Computed properties:
total moment: 0.00 μB per atom
calculated total energy: -22.85 eV/atom
calculated formation energy: -0.453 eV per atom

Geometry as POSCAR:
```
YBe3Ir
1.0
-0.0262 -3.6051 2.2076
2.4946 1.7691 2.9187
-3.4128 1.3208 2.1164
Y Be Ir
1 3 1
Direct
0.5000 0.5000 0.5000 Y
0.0000 0.5000 0.0000 Be
0.0000 0.0000 0.5000 Be
0.5000 0.0000 0.0000 Be
0.0000 0.0000 0.0000 Ir
```

3.
Density functional theory data (SCAN) for a crystal of KAu2 relaxed with PBEsol.

Computed properties:
total moment: 0.00 μB per atom
calculated total energy: -49.27 eV/atom
calculated formation energy: -0.394 eV per atom

Geometry as POSCAR:
```
KAu2
1.0
-1.3274 2.8433 4.6549
-4.0462 -2.3383 -3.1106
0.7206 -8.1123 5.1607
K Au
4 8
Direct
0.3333 0.6667 0.9389 K
0.6667 0.3333 0.4389 K
0.6667 0.3333 0.0611 K
0.3333 0.6667 0.5611 K
0.8329 0.6658 0.7500 Au
0.1671 0.3342 0.2500 Au
0.1671 0.8329 0.2500 Au
0.3342 0.1671 0.7500 Au
0.8329 0.1671 0.7500 Au
0.6658 0.8329 0.2500 Au
0.0000 0.0000 0.0000 Au
0.0000 0.0000 0.5000 Au
```